A plane-wave DFT calculation with PBE was carried out for HfHRh2W after structural relaxation.

Output
**Calculated density**: 14.28 g/cm³
**Size of the total moment**: 0.00 Bohr magnetons per cell
**DFT total energy**: -8.468 eV per atom
**N(E_F)**: 4.18 states/eV/f.u.
**Calculated volume**: 13.2 A^3/atom

abc: 4.027 4.027 4.082
angles: 90.00 90.00 90.00
Atoms (fractional coordinates):
Hf  0.000  0.000  0.000
H  0.500  0.500  0.500
Rh  0.000  0.500  0.500
Rh  0.500  0.000  0.500
W  0.500  0.500  0.000

A plane-wave DFT calculation with PBE was carried out for Hf2HRhW after structural relaxation.

Output
**Calculated density**: 12.73 g/cm³
**Size of the total moment**: 0.00 Bohr magnetons per cell
**DFT total energy**: -8.317 eV per atom
**N(E_F)**: 6.92 states/eV/f.u.
**Calculated volume**: 16.8 A^3/atom
**Energy above the most stable polymorph in this dataset**: 0.731 eV per atom

abc: 5.155 5.155 3.165
angles: 90.00 90.00 90.00
Atoms (fractional coordinates):
Hf  0.000  0.500  0.000
Hf  0.500  0.000  0.000
H  0.000  0.000  0.500
Rh  0.000  0.000  0.000
W  0.500  0.500  0.500

A plane-wave DFT calculation with PBE was carried out for YHfHRh2 after structural relaxation.

Output
**Calculated density**: 10.19 g/cm³
**Size of the total moment**: 0.00 Bohr magnetons per cell
**DFT total energy**: -7.329 eV per atom
**N(E_F)**: 3.39 states/eV/f.u.
**Calculated volume**: 15.4 A^3/atom

abc: 4.411 4.411 3.971
angles: 90.00 90.00 90.00
Atoms (fractional coordinates):
Y  0.000  0.000  0.000
Hf  0.500  0.500  0.000
H  0.500  0.500  0.500
Rh  0.000  0.500  0.500
Rh  0.500  0.000  0.500

A plane-wave DFT calculation with PBE was carried out for HfZnHRh2 after structural relaxation.

Output
**Calculated density**: 11.60 g/cm³
**Size of the total moment**: 0.00 Bohr magnetons per cell
**DFT total energy**: -6.303 eV per atom
**N(E_F)**: 1.79 states/eV/f.u.
**Calculated volume**: 12.9 A^3/atom
**Energy above the most stable polymorph in this dataset**: 0.045 eV per atom

abc: 4.148 4.148 3.749
angles: 90.00 90.00 90.00
Atoms (fractional coordinates):
Hf  0.000  0.000  0.000
Zn  0.500  0.500  0.000
H  0.500  0.500  0.500
Rh  0.000  0.500  0.500
Rh  0.500  0.000  0.500

A plane-wave DFT calculation with PBE was carried out for Hf2ZnHRh after structural relaxation.

Output
**Calculated density**: 12.08 g/cm³
**Size of the total moment**: 0.00 Bohr magnetons per cell
**DFT total energy**: -6.740 eV per atom
**N(E_F)**: 3.23 states/eV/f.u.
**Calculated volume**: 14.5 A^3/atom
**Energy above the most stable polymorph in this dataset**: 0.050 eV per atom

abc: 4.330 4.330 3.859
angles: 90.00 90.00 90.00
Atoms (fractional coordinates):
Hf  0.000  0.500  0.000
Hf  0.500  0.000  0.000
Zn  0.000  0.000  0.500
H  0.000  0.000  0.000
Rh  0.500  0.500  0.500

A plane-wave DFT calculation with PBE was carried out for Hf2ZnHRh after structural relaxation.

Output
**Calculated density**: 11.88 g/cm³
**Size of the total moment**: 0.00 Bohr magnetons per cell
**DFT total energy**: -6.790 eV per atom
**N(E_F)**: 3.00 states/eV/f.u.
**Calculated volume**: 14.7 A^3/atom
**Energy above the most stable polymorph in this dataset**: 0.000 eV per atom

abc: 4.494 4.494 3.643
angles: 90.00 90.00 90.00
Atoms (fractional coordinates):
Hf  0.000  0.500  0.000
Hf  0.500  0.000  0.000
Zn  0.000  0.000  0.500
H  0.500  0.500  0.000
Rh  0.500  0.500  0.500

A plane-wave DFT calculation with PBE was carried out for HfZn2HRh after structural relaxation.

Output
**Calculated density**: 8.96 g/cm³
**Size of the total moment**: 0.00 Bohr magnetons per cell
**DFT total energy**: -4.512 eV per atom
**N(E_F)**: 3.18 states/eV/f.u.
**Calculated volume**: 15.3 A^3/atom

abc: 4.841 4.841 3.266
angles: 90.00 90.00 90.00
Atoms (fractional coordinates):
Hf  0.000  0.000  0.000
Zn  0.000  0.500  0.500
Zn  0.500  0.000  0.500
H  0.500  0.500  0.000
Rh  0.500  0.500  0.500

A plane-wave DFT calculation with PBE was carried out for HfZnHRh2 after structural relaxation.

Output
**Calculated density**: 11.54 g/cm³
**Size of the total moment**: 0.00 Bohr magnetons per cell
**DFT total energy**: -6.348 eV per atom
**N(E_F)**: 2.53 states/eV/f.u.
**Calculated volume**: 13.0 A^3/atom
**Energy above the most stable polymorph in this dataset**: 0.000 eV per atom

abc: 4.072 4.072 3.911
angles: 90.00 90.00 90.00
Atoms (fractional coordinates):
Hf  0.000  0.000  0.000
Zn  0.500  0.500  0.000
H  0.000  0.000  0.500
Rh  0.000  0.500  0.500
Rh  0.500  0.000  0.500

A plane-wave DFT calculation with PBE was carried out for Hf2ZrHRh after structural relaxation.

Output
**Calculated density**: 11.29 g/cm³
**Size of the total moment**: 0.00 Bohr magnetons per cell
**DFT total energy**: -8.126 eV per atom
**N(E_F)**: 5.69 states/eV/f.u.
**Calculated volume**: 16.2 A^3/atom

abc: 4.603 4.603 3.835
angles: 90.00 90.00 90.00
Atoms (fractional coordinates):
Hf  0.000  0.500  0.000
Hf  0.500  0.000  0.000
Zr  0.000  0.000  0.500
H  0.000  0.000  0.000
Rh  0.500  0.500  0.500

A plane-wave DFT calculation with PBE was carried out for Hf3HRu after structural relaxation.

Output
**Calculated density**: 8.51 g/cm³
**Size of the total moment**: 1.20 Bohr magnetons per cell
**DFT total energy**: -7.574 eV per atom
**N(E_F)**: 5.63 states/eV/f.u.
**Calculated volume**: 24.9 A^3/atom
**Energy above the most stable polymorph in this dataset**: 1.064 eV per atom

abc: 4.992 4.992 4.992
angles: 90.00 90.00 90.00
Atoms (fractional coordinates):
Hf  0.000  0.000  0.500
Hf  0.000  0.500  0.000
Hf  0.500  0.000  0.000
H  0.500  0.500  0.500
Ru  0.000  0.000  0.000

A plane-wave DFT calculation with PBE was carried out for HfHRu3 after structural relaxation.

Output
**Calculated density**: 7.10 g/cm³
**Size of the total moment**: 4.88 Bohr magnetons per cell
**DFT total energy**: -6.013 eV per atom
**N(E_F)**: 3.85 states/eV/f.u.
**Calculated volume**: 22.6 A^3/atom
**Energy above the most stable polymorph in this dataset**: 2.464 eV per atom

abc: 4.832 4.832 4.832
angles: 90.00 90.00 90.00
Atoms (fractional coordinates):
Hf  0.000  0.000  0.000
H  0.500  0.500  0.500
Ru  0.000  0.000  0.500
Ru  0.000  0.500  0.000
Ru  0.500  0.000  0.000

A plane-wave DFT calculation with PBE was carried out for HfHRu3 after structural relaxation.

Output
**Calculated density**: 12.62 g/cm³
**Size of the total moment**: 0.00 Bohr magnetons per cell
**DFT total energy**: -8.477 eV per atom
**N(E_F)**: 6.30 states/eV/f.u.
**Calculated volume**: 12.7 A^3/atom
**Energy above the most stable polymorph in this dataset**: 0.000 eV per atom

abc: 3.990 3.990 3.990
angles: 90.00 90.00 90.00
Atoms (fractional coordinates):
Hf  0.000  0.000  0.000
H  0.500  0.500  0.500
Ru  0.000  0.500  0.500
Ru  0.500  0.000  0.500
Ru  0.500  0.500  0.000

A plane-wave DFT calculation with PBE was carried out for Hf4HRu after structural relaxation.

Output
**Calculated density**: 11.64 g/cm³
**Size of the total moment**: 0.00 Bohr magnetons per cell
**DFT total energy**: -8.857 eV per atom
**N(E_F)**: 4.57 states/eV/f.u.
**Calculated volume**: 19.4 A^3/atom

abc: 6.737 6.737 6.737
angles: 106.17 106.17 116.29
Atoms (fractional coordinates):
Hf  0.214  0.264  0.550
Hf  0.214  0.664  0.950
Hf  0.264  0.214  0.050
Hf  0.336  0.786  0.550
Hf  0.664  0.214  0.450
Hf  0.736  0.786  0.950
Hf  0.786  0.336  0.050
Hf  0.786  0.736  0.450
H  0.375  0.625  0.750
H  0.625  0.375  0.250
Ru  0.125  0.875  0.250
Ru  0.875  0.125  0.750

A plane-wave DFT calculation with PBE was carried out for Hf3HRu after structural relaxation.

Output
**Calculated density**: 13.16 g/cm³
**Size of the total moment**: 0.00 Bohr magnetons per cell
**DFT total energy**: -8.638 eV per atom
**N(E_F)**: 5.16 states/eV/f.u.
**Calculated volume**: 16.1 A^3/atom
**Energy above the most stable polymorph in this dataset**: 0.000 eV per atom

abc: 4.317 4.317 4.317
angles: 90.00 90.00 90.00
Atoms (fractional coordinates):
Hf  0.000  0.000  0.500
Hf  0.000  0.500  0.000
Hf  0.500  0.000  0.000
H  0.000  0.000  0.000
Ru  0.500  0.500  0.500